Entry 1:
Computed, not measured: Al2FeSiF after structural relaxation at the PBE+U level of DFT.

abc: 4.9133 4.9133 3.7550
angles: 90.00 90.00 90.00
Space group P4/mmm (No. 123)
Inequivalent atoms, fractional coordinates:
Al  0.0000  0.5000  0.0000 x2
Fe  0.0000  0.0000  0.0000 x1
Si  0.5000  0.5000  0.5000 x1
F  0.0000  0.0000  0.5000 x1

Calculated values
Calculated volume, Å³ per atom: 18.13
Mass density, Mg/m³: 2.874

Entry 2:
Computed, not measured: AlTlFeF6 after structural relaxation at the PBE+U level of DFT.

abc: 5.3590 9.2929 6.0080
angles: 90.00 90.03 90.00
Space group C2 (No. 5)
Inequivalent atoms, fractional coordinates:
Al  0.0000  0.0000  0.0000 x2
Tl  0.0000  0.6672  0.5000 x2
Fe  0.0000  0.3335  0.0000 x2
F  0.1182  0.1488  0.1732 x4
F  0.1608  0.8673  0.1749 x4
F  0.2159  0.4863  0.1714 x4

Calculated values
Calculated volume, Å³ per atom: 16.62
Mass density, Mg/m³: 4.453

no.,total magnetization (μB per cell),total DFT energy (no corrections) (eV per atom)
1,2.59,-3.892
2,8.00,-5.380